(1)
Computed, not measured: a geometry-optimized KScW3 structure at the GGA-PBEsol level of DFT.

Calculated values
Raw total energy = -7.0569 eV per atom

a = 4.7775 Å, b = 4.7775 Å, c = 4.7775 Å
α = 90.00°, β = 90.00°, γ = 90.00°
Closest atoms and distances in Å follow each position.
Atoms (fractional coordinates):
K 0.0000 0.0000 0.0000  12 W 3.38
Sc 0.5000 0.5000 0.5000  6 W 2.39
W 0.0000 0.5000 0.5000  2 Sc 2.39
W 0.5000 0.0000 0.5000  2 Sc 2.39
W 0.5000 0.5000 0.0000  2 Sc 2.39


(2)
Computed, not measured: a geometry-optimized KSc2W structure at the GGA-PBEsol level of DFT.

Calculated values
Raw total energy = -5.9951 eV per atom

a = 5.3318 Å, b = 5.3318 Å, c = 3.0427 Å
α = 90.00°, β = 90.00°, γ = 90.00°
Closest atoms and distances in Å follow each position.
Atoms (fractional coordinates):
K 0.0000 0.0000 0.0000  2 K 3.04, 8 Sc 3.07
Sc 0.0000 0.5000 0.5000  2 Sc 3.04, 4 W 3.07, 4 K 3.07
Sc 0.5000 0.0000 0.5000  2 Sc 3.04, 4 W 3.07, 4 K 3.07
W 0.5000 0.5000 0.0000  2 W 3.04, 8 Sc 3.07


(3)
Computed, not measured: a geometry-optimized KYSc2 structure at the GGA-PBEsol level of DFT.

Calculated values
Energy above the lowest structure with this stoichiometry = 88.4 meV per atom
Raw total energy = -4.6226 eV per atom

a = 4.9418 Å, b = 4.9418 Å, c = 4.9852 Å
α = 90.00°, β = 90.00°, γ = 90.00°
Closest atoms and distances in Å follow each position.
Atoms (fractional coordinates):
K 0.0000 0.0000 0.0000  4 Y 3.49, 8 Sc 3.51
Y 0.5000 0.5000 0.0000  4 K 3.49, 8 Sc 3.51
Sc 0.0000 0.5000 0.5000  4 Sc 3.49, 4 K 3.51, 4 Y 3.51
Sc 0.5000 0.0000 0.5000  4 Sc 3.49, 4 K 3.51, 4 Y 3.51


(4)
Computed, not measured: a geometry-optimized KYSc2 structure at the GGA-PBEsol level of DFT.

Calculated values
Energy above the lowest structure with this stoichiometry = 0.0 meV per atom
Raw total energy = -4.7109 eV per atom

a = 6.2508 Å, b = 6.2508 Å, c = 3.3254 Å
α = 90.00°, β = 90.00°, γ = 111.38°
Closest atoms and distances in Å follow each position.
Atoms (fractional coordinates):
K 0.0000 0.0000 0.0000  2 K 3.33, 2 Y 3.52, 8 Sc 3.54
Y 0.5000 0.5000 0.0000  2 Y 3.33, 2 K 3.52, 8 Sc 3.54
Sc 0.0000 0.5000 0.5000  4 Sc 3.33-3.52, 4 K 3.54, 4 Y 3.54
Sc 0.5000 0.0000 0.5000  4 Sc 3.33-3.52, 4 K 3.54, 4 Y 3.54


DOS at the Fermi energy values (in states/eV/cell) by entry order: 7.9 5.3 5.8 6.8.
E_form values (in meV/atom) by entry order: 2775.3 1042.6 668.9 580.5.
Volume values (in Å³/atom) by entry order: 21.81 21.62 30.44 30.25.